Record 1
Material: LiTa2Au
Method: DFT, SCAN
State: single point on PBEsol structure

The value obtained for the energy above the lowest structure with this stoichiometry is 0 meV/atom. For the formation energy, the calculation gives 0.03 eV per atom. As for the space group: No. 139.

```
LiTa2Au
1.0
3.827 0.000 0.000
0.000 3.827 0.000
-1.914 -1.914 4.367
Ta Au Li
2 1 1
Direct
0.250 0.750 0.500 Ta
0.750 0.250 0.500 Ta
0.500 0.500 0.000 Au
0.000 0.000 0.000 Li
```

=====

Record 2
Material: LiTaAu2
Method: DFT, SCAN
State: single point on PBEsol structure

For the formation energy, the calculation gives -0.41 eV per atom. As for the space group: No. 25.

```
LiTaAu2
1.0
2.739 0.000 0.000
0.000 4.775 0.000
0.000 0.000 4.979
Ta Au Li
1 2 1
Direct
0.500 0.500 0.178 Ta
0.000 0.000 0.066 Au
0.000 0.500 0.673 Au
0.500 0.000 0.583 Li
```

=====

> Which formula does entry 1 have?

LiTa2Au

=====

> formation energy of number 1 (LiTa2Au)?

0.03 eV per atom

=====

> The lowest formation energy belongs to which entry?

LiTaAu2

=====

> What is the formation energy in the first record?

0.03 eV per atom